Entry i
Crystalline Pr3CSe2 at its relaxed geometry, computed with PBE. Values from VASP.

```
&SYSTEM
  ibrav = 0, nat = 24, ntyp = 3
/
ATOMIC_SPECIES
Pr 140.91 Pr.upf
C 12.01 C.upf
Se 78.96 Se.upf
CELL_PARAMETERS angstrom
7.070 0.062 -1.317
-2.677 6.544 -1.317
-0.064 -0.097 12.913
ATOMIC_POSITIONS crystal
Pr 0.160 0.693 0.819
Pr 0.659 0.127 0.819
Pr 0.090 0.057 0.681
Pr 0.591 0.623 0.681
Pr 0.037 0.537 0.500
Pr 0.463 0.963 0.500
Pr 0.377 0.409 0.319
Pr 0.943 0.910 0.319
Pr 0.873 0.341 0.181
Pr 0.307 0.840 0.181
Pr 0.213 0.213 0.000
Pr 0.787 0.787 0.000
C 0.916 0.916 0.832
C 0.334 0.834 0.668
C 0.166 0.666 0.332
C 0.084 0.084 0.168
Se 0.997 0.497 0.993
Se 0.421 0.421 0.841
Se 0.829 0.329 0.659
Se 0.253 0.253 0.507
Se 0.747 0.747 0.493
Se 0.671 0.171 0.341
Se 0.579 0.579 0.159
Se 0.503 0.003 0.007
```

=====

Entry ii
Crystalline Pr3CSe2 at its relaxed geometry, computed with PBE. Values from VASP.

```
&SYSTEM
  ibrav = 0, nat = 12, ntyp = 3
/
ATOMIC_SPECIES
Pr 140.91 Pr.upf
C 12.01 C.upf
Se 78.96 Se.upf
CELL_PARAMETERS angstrom
5.919 0.000 0.000
0.000 7.986 0.005
-2.960 -1.996 6.379
ATOMIC_POSITIONS crystal
Pr 0.474 0.250 0.000
Pr 0.526 0.750 0.000
Pr 0.138 0.069 0.276
Pr 0.861 0.431 0.724
Pr 0.139 0.569 0.276
Pr 0.862 0.931 0.724
C 0.968 0.750 0.000
C 0.032 0.250 0.000
Se 0.675 0.587 0.349
Se 0.674 0.087 0.349
Se 0.326 0.913 0.651
Se 0.325 0.413 0.651
```

=====

Most stable to least stable: entry i, entry ii

=====

Entry i
Crystalline Pr4CSe3 at its relaxed geometry, computed with PBE. Values from VASP.

```
&SYSTEM
  ibrav = 0, nat = 16, ntyp = 3
/
ATOMIC_SPECIES
Pr 140.91 Pr.upf
C 12.01 C.upf
Se 78.96 Se.upf
CELL_PARAMETERS angstrom
7.099 0.031 0.000
-2.459 6.904 0.000
0.000 0.000 8.415
ATOMIC_POSITIONS crystal
Pr 0.973 0.228 0.657
Pr 0.500 0.214 0.893
Pr 0.473 0.228 0.343
Pr 0.000 0.214 0.107
Pr 0.000 0.786 0.893
Pr 0.527 0.772 0.657
Pr 0.500 0.786 0.107
Pr 0.027 0.772 0.343
C 0.750 0.000 0.872
C 0.250 0.000 0.128
Se 0.750 0.000 0.379
Se 0.250 0.000 0.621
Se 0.750 0.500 0.624
Se 0.750 0.500 0.123
Se 0.250 0.500 0.376
Se 0.250 0.500 0.877
```

=====

Entry ii
Crystalline Pr4CSe3 at its relaxed geometry, computed with PBE. Values from VASP.

```
&SYSTEM
  ibrav = 0, nat = 16, ntyp = 3
/
ATOMIC_SPECIES
Pr 140.91 Pr.upf
C 12.01 C.upf
Se 78.96 Se.upf
CELL_PARAMETERS angstrom
-4.790 -3.403 -0.908
4.387 -4.503 -6.269
3.054 -6.023 6.463
ATOMIC_POSITIONS crystal
Pr 0.064 0.907 0.000
Pr 0.585 0.180 0.000
Pr 0.068 0.317 0.225
Pr 0.568 0.683 0.275
Pr 0.085 0.820 0.500
Pr 0.564 0.093 0.500
Pr 0.568 0.683 0.725
Pr 0.068 0.317 0.775
C 0.018 0.183 0.000
C 0.518 0.817 0.500
Se 0.570 0.857 0.000
Se 0.072 0.657 0.228
Se 0.572 0.343 0.272
Se 0.070 0.143 0.500
Se 0.572 0.343 0.728
Se 0.072 0.657 0.772
```

=====

Most stable to least stable: entry i, entry ii

=====

Entry i
Crystalline Pr5CSe4 at its relaxed geometry, computed with PBE. Values from VASP.

```
&SYSTEM
  ibrav = 0, nat = 10, ntyp = 3
/
ATOMIC_SPECIES
Pr 140.91 Pr.upf
C 12.01 C.upf
Se 78.96 Se.upf
CELL_PARAMETERS angstrom
-0.077 0.224 -5.930
-3.141 -5.756 -3.147
-5.909 3.209 -2.771
ATOMIC_POSITIONS crystal
Pr 0.910 0.355 0.826
Pr 0.266 0.826 0.645
Pr 0.736 0.174 0.355
Pr 0.092 0.645 0.174
Pr 0.501 0.000 0.000
C 0.001 0.000 0.000
Se 0.408 0.397 0.788
Se 0.806 0.788 0.603
Se 0.196 0.212 0.397
Se 0.594 0.603 0.212
```

=====

Entry ii
Crystalline Pr5CSe4 at its relaxed geometry, computed with PBE. Values from VASP.

```
&SYSTEM
  ibrav = 0, nat = 10, ntyp = 3
/
ATOMIC_SPECIES
Pr 140.91 Pr.upf
C 12.01 C.upf
Se 78.96 Se.upf
CELL_PARAMETERS angstrom
-2.065 -1.576 3.289
-3.055 -1.317 -2.549
9.666 -11.588 -2.153
ATOMIC_POSITIONS crystal
Pr 0.084 0.084 0.168
Pr 0.500 0.500 0.000
Pr 0.916 0.916 0.832
Pr 0.296 0.296 0.592
Pr 0.704 0.704 0.408
C 0.000 0.000 0.000
Se 0.400 0.400 0.800
Se 0.806 0.806 0.612
Se 0.194 0.194 0.388
Se 0.600 0.600 0.200
```

=====

Most stable to least stable: entry i, entry ii

=====

Entry i
Crystalline Pr2Sm4C at its relaxed geometry, computed with PBE. Values from VASP.

```
&SYSTEM
  ibrav = 0, nat = 7, ntyp = 3
/
ATOMIC_SPECIES
Pr 140.91 Pr.upf
C 12.01 C.upf
Sm 150.36 Sm.upf
CELL_PARAMETERS angstrom
5.009 0.000 0.000
0.000 5.009 0.000
2.504 2.504 8.992
ATOMIC_POSITIONS crystal
Pr 0.676 0.676 0.649
Pr 0.324 0.324 0.351
C 0.000 0.000 0.000
Sm 0.865 0.865 0.270
Sm 0.135 0.135 0.730
Sm 0.000 0.500 0.000
Sm 0.500 0.000 0.000
```

=====

Entry ii
Crystalline Pr2Sm4C at its relaxed geometry, computed with PBE. Values from VASP.

```
&SYSTEM
  ibrav = 0, nat = 7, ntyp = 3
/
ATOMIC_SPECIES
Pr 140.91 Pr.upf
C 12.01 C.upf
Sm 150.36 Sm.upf
CELL_PARAMETERS angstrom
3.633 0.000 0.518
1.779 3.167 0.518
-0.807 -0.472 18.643
ATOMIC_POSITIONS crystal
Pr 0.245 0.245 0.264
Pr 0.755 0.755 0.736
C 0.000 0.000 0.000
Sm 0.140 0.140 0.581
Sm 0.860 0.860 0.419
Sm 0.358 0.358 0.925
Sm 0.642 0.642 0.075
```

=====

Most stable to least stable: entry ii, entry i

=====

Entry i
Crystalline Pr4Sn2C at its relaxed geometry, computed with PBE. Values from VASP.

```
&SYSTEM
  ibrav = 0, nat = 14, ntyp = 3
/
ATOMIC_SPECIES
Pr 140.91 Pr.upf
Sn 118.71 Sn.upf
C 12.01 C.upf
CELL_PARAMETERS angstrom
6.886 0.000 -0.360
0.000 6.949 0.000
-2.943 0.000 9.185
ATOMIC_POSITIONS crystal
Pr 0.509 0.498 0.268
Pr 0.107 0.750 0.935
Pr 0.893 0.250 0.065
Pr 0.509 0.002 0.268
Pr 0.933 0.250 0.649
Pr 0.491 0.998 0.732
Pr 0.491 0.502 0.732
Pr 0.067 0.750 0.351
Sn 0.693 0.750 0.039
Sn 0.307 0.250 0.961
Sn 0.204 0.250 0.423
Sn 0.796 0.750 0.577
C 0.272 0.750 0.197
C 0.728 0.250 0.803
```

=====

Entry ii
Crystalline Pr4Sn2C at its relaxed geometry, computed with PBE. Values from VASP.

```
&SYSTEM
  ibrav = 0, nat = 7, ntyp = 3
/
ATOMIC_SPECIES
Pr 140.91 Pr.upf
C 12.01 C.upf
Sn 118.71 Sn.upf
CELL_PARAMETERS angstrom
5.047 0.000 0.000
0.000 5.047 0.000
-2.523 -2.523 8.356
ATOMIC_POSITIONS crystal
Pr 0.837 0.837 0.674
Pr 0.163 0.163 0.326
Pr 0.000 0.500 0.000
Pr 0.500 0.000 0.000
C 0.000 0.000 0.000
Sn 0.639 0.639 0.277
Sn 0.361 0.361 0.723
```

=====

Most stable to least stable: entry ii, entry i

=====

Entry i
Crystalline PrTaC2 at its relaxed geometry, computed with PBE. Values from VASP.

```
&SYSTEM
  ibrav = 0, nat = 16, ntyp = 3
/
ATOMIC_SPECIES
Pr 140.91 Pr.upf
Ta 180.95 Ta.upf
C 12.01 C.upf
CELL_PARAMETERS angstrom
3.717 0.000 0.000
0.000 5.913 0.000
0.000 0.000 11.136
ATOMIC_POSITIONS crystal
Pr 0.750 0.084 0.141
Pr 0.250 0.916 0.859
Pr 0.750 0.584 0.359
Pr 0.250 0.416 0.641
Ta 0.250 0.587 0.107
Ta 0.250 0.087 0.393
Ta 0.750 0.413 0.893
Ta 0.750 0.913 0.607
C 0.750 0.198 0.471
C 0.250 0.802 0.529
C 0.750 0.698 0.029
C 0.250 0.302 0.971
C 0.750 0.151 0.750
C 0.250 0.349 0.250
C 0.750 0.651 0.750
C 0.250 0.849 0.250
```

=====

Entry ii
Crystalline PrTaC2 at its relaxed geometry, computed with PBE. Values from VASP.

```
&SYSTEM
  ibrav = 0, nat = 4, ntyp = 3
/
ATOMIC_SPECIES
Pr 140.91 Pr.upf
C 12.01 C.upf
Ta 180.95 Ta.upf
CELL_PARAMETERS angstrom
-3.204 -1.031 0.234
-1.228 -1.028 2.969
-3.153 4.792 2.272
ATOMIC_POSITIONS crystal
Pr 0.500 0.500 0.500
C 0.266 0.266 0.201
C 0.734 0.734 0.799
Ta 0.000 0.000 0.000
```

=====

Most stable to least stable: entry i, entry ii